one.
VASP calculation (PBE-GGA) on an optimized crystal structure of Ba2ZnB.

CIF file:
```
data_Ba2ZnB
_space_group_name_H-M_alt 'I -4 2 d'
_space_group_IT_number 122
_space_group_name_Hall 'I -4 2bw'
_cell_length_a 8.504
_cell_length_b 8.504
_cell_length_c 8.170
_cell_angle_alpha 90.00
_cell_angle_beta 90.00
_cell_angle_gamma 90.00
loop_
_atom_site_label
_atom_site_fract_x
_atom_site_fract_y
_atom_site_fract_z
_atom_site_occupancy
Ba1 0.195 0.250 0.125 1
Zn1 0.000 0.000 0.500 1
B1 0.000 0.000 0.000 1
```

two.
VASP calculation (PBE-GGA) on an optimized crystal structure of Ba2ZnB.

CIF file:
```
data_Ba2ZnB
_space_group_name_H-M_alt 'F m -3 m'
_space_group_IT_number 225
_space_group_name_Hall '-F 4 2 3'
_cell_length_a 7.798
_cell_length_b 7.798
_cell_length_c 7.798
_cell_angle_alpha 90.00
_cell_angle_beta 90.00
_cell_angle_gamma 90.00
loop_
_atom_site_label
_atom_site_fract_x
_atom_site_fract_y
_atom_site_fract_z
_atom_site_occupancy
Ba1 0.250 0.250 0.250 1
Zn1 0.000 0.000 0.000 1
B1 0.000 0.000 0.500 1
```

Quick one: most stable of them? two